[1]
Material: DyPaAl2O8
Method: DFT, PBE
State: optimized geometry

Output
E_form (uncorrected): -2.853 eV/atom

Cell and atoms, written as POSCAR:
```
DyPaAl2O8
1.0
-5.358 2.214 1.163
-0.066 -5.862 -0.774
3.492 1.178 4.624
O Al Dy Pa
8 2 1 1
Cartesian
-0.951 0.802 1.821
-2.623 -0.767 3.793
1.169 0.884 4.048
-3.924 1.012 2.331
-1.660 2.090 4.020
-1.080 -1.994 0.820
-4.061 -1.888 1.317
0.108 -1.940 3.842
-2.289 0.784 2.991
-2.712 -1.824 0.195
0.357 -3.254 2.022
0.000 0.000 0.000
```

[2]
Material: Dy2AlPbO6
Method: DFT, PBE
State: optimized geometry

Output
E_form (uncorrected): -2.502 eV/atom

Cell and atoms, written as POSCAR:
```
Dy2AlPbO6
1.0
-2.479 3.259 3.314
-4.489 -2.651 -0.752
1.202 -3.178 4.025
O Pb Dy Al
6 1 2 1
Cartesian
-5.005 -0.356 2.816
-1.939 -2.526 2.031
-1.960 -0.638 5.372
-4.362 -2.056 4.970
-2.603 1.062 3.219
-0.641 0.843 0.857
-2.980 -1.157 3.423
-4.678 1.873 2.876
-1.832 1.610 5.265
-1.488 1.956 1.989
```

Question: Which of these has the lowest E_form (uncorrected)?
Answer: DyPaAl2O8

Question: The highest E_form (uncorrected) belongs to which entry?
Answer: Dy2AlPbO6